# PBE GeAsN3, relaxed
# Uncorrected formation energy = 145 kJ per mole of atoms
# Crystal system = cubic
# Energy = -5.34 eV/atom
data_GeAsN3
_chemical_formula_sum 'Ge1 As1 N3'
_space_group_name_H-M_alt 'P 1'
_space_group_IT_number 1
_cell_length_a 3.8015
_cell_length_b 3.8015
_cell_length_c 3.8015
_cell_angle_alpha 90.00
_cell_angle_beta 90.00
_cell_angle_gamma 90.00
loop_
_space_group_symop_operation_xyz
'x,y,z'
loop_
_atom_site_label
_atom_site_type_symbol
_atom_site_fract_x
_atom_site_fract_y
_atom_site_fract_z
N1 N 0.0000 0.0000 0.5000
N2 N 0.0000 0.5000 0.0000
N3 N 0.5000 0.0000 0.0000
As1 As 0.5000 0.5000 0.5000
Ge1 Ge 0.0000 0.0000 0.0000

# PBE SmP2PtRh5, relaxed
# Crystal system = tetragonal
# Energy = -6.95 eV/atom
data_SmP2PtRh5
_chemical_formula_sum 'Sm1 P2 Pt1 Rh5'
_space_group_name_H-M_alt 'P 1'
_space_group_IT_number 1
_cell_length_a 3.9745
_cell_length_b 3.9745
_cell_length_c 10.3143
_cell_angle_alpha 90.00
_cell_angle_beta 90.00
_cell_angle_gamma 90.00
loop_
_space_group_symop_operation_xyz
'x,y,z'
loop_
_atom_site_label
_atom_site_type_symbol
_atom_site_fract_x
_atom_site_fract_y
_atom_site_fract_z
Rh1 Rh 0.5000 0.0000 0.8294
Rh2 Rh 0.5000 0.0000 0.1706
Rh3 Rh 0.0000 0.5000 0.8294
Rh4 Rh 0.0000 0.5000 0.1706
Rh5 Rh 0.5000 0.5000 0.5000
P1 P 0.5000 0.5000 0.7203
P2 P 0.5000 0.5000 0.2797
Sm1 Sm 0.0000 0.0000 0.5000
Pt1 Pt 0.0000 0.0000 0.0000

# PBE TcHgP3, relaxed
# Crystal system = cubic
# Energy = -4.87 eV/atom
# ΔE to the lowest computed polymorph = 0 meV per atom
data_TcHgP3
_chemical_formula_sum 'Tc1 Hg1 P3'
_space_group_name_H-M_alt 'P 1'
_space_group_IT_number 1
_cell_length_a 4.6697
_cell_length_b 4.6697
_cell_length_c 4.6697
_cell_angle_alpha 90.00
_cell_angle_beta 90.00
_cell_angle_gamma 90.00
loop_
_space_group_symop_operation_xyz
'x,y,z'
loop_
_atom_site_label
_atom_site_type_symbol
_atom_site_fract_x
_atom_site_fract_y
_atom_site_fract_z
P1 P 0.5000 0.0000 0.0000
P2 P 0.0000 0.0000 0.5000
P3 P 0.0000 0.5000 0.0000
Tc1 Tc 0.0000 0.0000 0.0000
Hg1 Hg 0.5000 0.5000 0.5000

# PBE Ta2CoAsPd, relaxed
# Crystal system = tetragonal
# Energy = -6.74 eV/atom
data_Ta2CoAsPd
_chemical_formula_sum 'Ta2 Co1 As1 Pd1'
_space_group_name_H-M_alt 'P 1'
_space_group_IT_number 1
_cell_length_a 4.7969
_cell_length_b 4.5262
_cell_length_c 4.7969
_cell_angle_alpha 90.00
_cell_angle_beta 90.00
_cell_angle_gamma 90.00
loop_
_space_group_symop_operation_xyz
'x,y,z'
loop_
_atom_site_label
_atom_site_type_symbol
_atom_site_fract_x
_atom_site_fract_y
_atom_site_fract_z
Co1 Co 0.0000 0.5000 0.0000
Ta1 Ta 0.0000 0.0000 0.5000
Ta2 Ta 0.5000 0.0000 0.0000
As1 As 0.5000 0.5000 0.5000
Pd1 Pd 0.0000 0.0000 0.0000

# PBE FeRuPt2, relaxed
# Crystal system = tetragonal
# Energy = -6.85 eV/atom
data_FeRuPt2
_chemical_formula_sum 'Fe2 Ru2 Pt4'
_space_group_name_H-M_alt 'P 1'
_space_group_IT_number 1
_cell_length_a 6.8108
_cell_length_b 6.8108
_cell_length_c 5.4931
_cell_angle_alpha 51.69
_cell_angle_beta 51.69
_cell_angle_gamma 90.00
loop_
_space_group_symop_operation_xyz
'x,y,z'
loop_
_atom_site_label
_atom_site_type_symbol
_atom_site_fract_x
_atom_site_fract_y
_atom_site_fract_z
Ru1 Ru 0.0000 0.0000 0.0000
Ru2 Ru 0.7500 0.2500 0.5000
Pt1 Pt 0.3750 0.3979 0.7500
Pt2 Pt 0.1479 0.6250 0.2500
Pt3 Pt 0.8750 0.8521 0.7500
Pt4 Pt 0.6021 0.1250 0.2500
Fe1 Fe 0.5000 0.5000 0.0000
Fe2 Fe 0.2500 0.7500 0.5000

# PBE CaDy2TmSe4, relaxed
# Uncorrected formation energy = -172 kJ per mole of atoms
# Crystal system = monoclinic
# Energy = -5.49 eV/atom
data_CaDy2TmSe4
_chemical_formula_sum 'Ca1 Dy2 Tm1 Se4'
_space_group_name_H-M_alt 'P 1'
_space_group_IT_number 1
_cell_length_a 4.0659
_cell_length_b 7.0650
_cell_length_c 7.0927
_cell_angle_alpha 109.13
_cell_angle_beta 90.00
_cell_angle_gamma 90.00
loop_
_space_group_symop_operation_xyz
'x,y,z'
loop_
_atom_site_label
_atom_site_type_symbol
_atom_site_fract_x
_atom_site_fract_y
_atom_site_fract_z
Se1 Se 0.5000 0.7465 0.7504
Se2 Se 0.0000 0.7462 0.2464
Se3 Se 0.5000 0.2535 0.2496
Se4 Se 0.0000 0.2538 0.7536
Dy1 Dy 0.0000 0.5000 0.5000
Dy2 Dy 0.5000 0.0000 0.5000
Ca1 Ca 0.0000 0.0000 0.0000
Tm1 Tm 0.5000 0.5000 0.0000

# PBE RbPPd2, relaxed
# Crystal system = trigonal
# Energy = -4.52 eV/atom
data_RbPPd2
_chemical_formula_sum 'Rb1 P1 Pd2'
_space_group_name_H-M_alt 'P 1'
_space_group_IT_number 1
_cell_length_a 4.2494
_cell_length_b 4.2494
_cell_length_c 6.6196
_cell_angle_alpha 71.28
_cell_angle_beta 71.28
_cell_angle_gamma 60.00
loop_
_space_group_symop_operation_xyz
'x,y,z'
loop_
_atom_site_label
_atom_site_type_symbol
_atom_site_fract_x
_atom_site_fract_y
_atom_site_fract_z
P1 P 0.5000 0.5000 0.5000
Rb1 Rb 0.0000 0.0000 0.0000
Pd1 Pd 0.1926 0.1926 0.4221
Pd2 Pd 0.8074 0.8074 0.5779